Record 1
The following is a DFT calculation (PBE) of crystalline Dy2ZnSi3Au4 at its relaxed geometry.

The structure in CIF format:
```
data_Dy2ZnSi3Au4
_cell_length_a 4.213
_cell_length_b 4.213
_cell_length_c 10.679
_cell_angle_alpha 90.00
_cell_angle_beta 90.00
_cell_angle_gamma 90.00
_symmetry_space_group_name_H-M 'P -4 m 2'
_symmetry_Int_Tables_number 115
_symmetry_space_group_name_Hall 'P -4 -2'
loop_
_atom_site_label
_atom_site_fract_x
_atom_site_fract_y
_atom_site_fract_z
Dy1 0.000 0.500 0.240
Zn1 0.000 0.000 0.500
Si1 0.000 0.500 0.862
Si2 0.500 0.500 0.500
Au1 0.000 0.000 0.000
Au2 0.000 0.500 0.638
Au3 0.500 0.500 0.000
```

Computed properties:
formation energy (no corrections) = -0.552 eV/atom

***

Record 2
The following is a DFT calculation (PBE) of crystalline K3Ag2F7 at its relaxed geometry.

The structure in CIF format:
```
data_K3Ag2F7
_cell_length_a 4.588
_cell_length_b 21.410
_cell_length_c 4.282
_cell_angle_alpha 90.00
_cell_angle_beta 90.00
_cell_angle_gamma 90.00
_symmetry_space_group_name_H-M 'C m m m'
_symmetry_Int_Tables_number 65
_symmetry_space_group_name_Hall '-C 2 2'
loop_
_atom_site_label
_atom_site_fract_x
_atom_site_fract_y
_atom_site_fract_z
K1 0.000 0.000 0.000
K2 0.000 0.185 0.000
Ag1 0.000 0.398 0.500
F1 0.000 0.097 0.500
F2 0.000 0.297 0.500
F3 0.000 0.400 0.000
F4 0.000 0.500 0.500
```

Computed properties:
formation energy (no corrections) = -1.963 eV/atom
ΔE to the lowest computed polymorph = 0.48 eV per formula unit

***

Record 3
The following is a DFT calculation (PBE) of crystalline RbSrNb at its relaxed geometry.

The structure in CIF format:
```
data_RbSrNb
_cell_length_a 10.888
_cell_length_b 4.421
_cell_length_c 13.603
_cell_angle_alpha 90.00
_cell_angle_beta 90.00
_cell_angle_gamma 90.00
_symmetry_space_group_name_H-M 'P n m a'
_symmetry_Int_Tables_number 62
_symmetry_space_group_name_Hall '-P 2ac 2n'
loop_
_atom_site_label
_atom_site_fract_x
_atom_site_fract_y
_atom_site_fract_z
Rb1 0.185 0.250 0.026
Sr1 0.032 0.250 0.714
Nb1 0.027 0.250 0.469
```

Computed properties:
ΔE to the lowest computed polymorph = 1.34 eV per formula unit